Record 1
NaYZr | GGA-PBE | relaxed

## Properties
Polymorph energy (0 for the lowest one), meV/atom: 1725
Total moment, μB per atom: 0.000
DFT formation energy, meV per atom: 1820

Cell lengths 4.9237, 4.9237, 10.8875 Å; angles 90.00, 90.00, 120.00 degrees
Space group P6_3/mmc (No. 194)
Symmetry-distinct sites (fractional):
Na1 0.3333 0.6667 0.2500 x2
Y1 0.0000 0.0000 0.2500 x2
Zr1 0.0000 0.0000 0.0000 x2

=====

Record 2
HIr2S | GGA-PBE | relaxed

## Properties
Polymorph energy (0 for the lowest one), meV/atom: 0
Total moment, μB per atom: 0.000

Cell lengths 4.7430, 4.7430, 9.2045 Å; angles 90.00, 90.00, 90.00 degrees
Space group I-42d (No. 122)
Symmetry-distinct sites (fractional):
H1 0.0000 0.0000 0.0000 x4
Ir1 0.1737 0.2500 0.1250 x8
S1 0.0000 0.0000 0.5000 x4

=====

Record 3
Nd6Mg23 | GGA-PBE | relaxed

## Properties
Total moment, μB per atom: 0.000
DFT formation energy, meV per atom: -78

Cell lengths 14.4273, 14.4273, 14.4273 Å; angles 90.00, 90.00, 90.00 degrees
Space group Fm-3m (No. 225)
Symmetry-distinct sites (fractional):
Nd1 0.0000 0.0000 0.2000 x24
Mg1 0.0000 0.0000 0.5000 x4
Mg2 0.0000 0.2500 0.2500 x24
Mg3 0.1208 0.1208 0.3792 x32
Mg4 0.1703 0.1703 0.1703 x32

=====

Record 4
InSiPb2 | GGA-PBE | relaxed

## Properties
Total moment, μB per atom: 0.000
Formation energy (no corrections), eV/atom: 0.324

Cell lengths 4.7347, 4.7347, 9.6089 Å; angles 90.00, 90.00, 90.00 degrees
Space group I-4m2 (No. 119)
Symmetry-distinct sites (fractional):
In1 0.0000 0.0000 0.0000 x2
Si1 0.0000 0.5000 0.2500 x2
Pb1 0.0000 0.0000 0.5000 x2
Pb2 0.0000 0.5000 0.7500 x2

=====

Record 5
BaLaZnAu | GGA-PBE | relaxed

## Properties
Total moment, μB per atom: 0.000
DFT formation energy, meV per atom: -391

Cell lengths 7.8084, 7.8084, 7.8084 Å; angles 90.00, 90.00, 90.00 degrees
Space group F-43m (No. 216)
Symmetry-distinct sites (fractional):
Ba1 0.0000 0.0000 0.0000 x4
La1 0.0000 0.0000 0.5000 x4
Zn1 0.2500 0.2500 0.2500 x4
Au1 0.2500 0.2500 0.7500 x4

=====

Record 6
Fe3BW | GGA-PBE | relaxed

## Properties
Polymorph energy (0 for the lowest one), meV/atom: 199
Total moment, μB per atom: 0.188
DFT formation energy, meV per atom: 70

Cell lengths 3.7783, 3.7783, 3.7783 Å; angles 90.00, 90.00, 90.00 degrees
Space group Pm-3m (No. 221)
Symmetry-distinct sites (fractional):
Fe1 0.0000 0.0000 0.5000 x3
B1 0.0000 0.0000 0.0000 x1
W1 0.5000 0.5000 0.5000 x1

=====

> What is the total moment in the sixth record?

0.188 μB per atom

=====

> Which of these has the highest total moment?

Fe3BW

=====

> total moment of number 6 (Fe3BW)?

0.188 μB per atom